DFT (PBE) results for crystalline Cd3BiP at its relaxed geometry.

a b c (Å): 5.7832 5.7832 5.7832
angles (deg): 90.00 90.00 90.00
Last column: nearest neighbours and their distance in Å.
Fractional positions:
Bi  0.0000  0.0000  0.0000  6 Cd 2.89
Cd  0.5000  0.0000  0.0000  2 Bi 2.89
Cd  0.0000  0.0000  0.5000  2 Bi 2.89
Cd  0.0000  0.5000  0.0000  2 Bi 2.89
P  0.5000  0.5000  0.5000  12 Cd 4.09

Output
The value obtained for the total energy is -1.5681 eV/atom. Its density of states at the Fermi level is 2.90 states/eV per cell. The spin magnetization is 1.7 μB/cell. The calculation puts the energy of formation at 81 kJ per mole of atoms.

DFT (PBE) results for crystalline Cd2BiP at its relaxed geometry.

a b c (Å): 6.6964 6.6964 7.2899
angles (deg): 62.66 62.66 90.00
Last column: nearest neighbours and their distance in Å.
Fractional positions:
Cd  0.5647  0.1250  0.2500  2 P 2.52
Cd  0.8750  0.8147  0.7500  2 P 2.52
Cd  0.3750  0.4353  0.7500  2 P 2.52
Cd  0.1853  0.6250  0.2500  2 P 2.52
Bi  0.0000  0.0000  0.0000  4 Cd 3.01
Bi  0.7500  0.2500  0.5000  4 Cd 3.01
P  0.2500  0.7500  0.5000  4 Cd 2.52
P  0.5000  0.5000  0.0000  4 Cd 2.52

Output
The value obtained for the total energy is -2.5643 eV/atom. Its density of states at the Fermi level is 4.31 states/eV per cell. The spin magnetization is 0.0 μB/cell. The calculation puts the energy of formation at 21 kJ per mole of atoms.